Compound: NpTiCoO6
Source: Alexandria via LeMat-Bulk
Functional: PBE+U
Structure: optimized geometry

Results
* crystal system: trigonal
* space group: No. 163
* raw total energy: -77.1 eV/f.u.

Lattice parameters (Å, degrees): 5.328 5.328 8.888 90.00 90.00 120.00
Fractional positions:
O 0.013 0.659 0.867
O 0.341 0.354 0.867
O 0.987 0.341 0.133
O 0.987 0.646 0.367
O 0.354 0.013 0.133
O 0.659 0.646 0.133
O 0.341 0.987 0.633
O 0.646 0.659 0.633
O 0.013 0.354 0.633
O 0.646 0.987 0.867
O 0.659 0.013 0.367
O 0.354 0.341 0.367
Co 0.000 0.000 0.000
Co 0.000 0.000 0.500
Ti 0.333 0.667 0.750
Ti 0.667 0.333 0.250
Np 0.333 0.667 0.250
Np 0.667 0.333 0.750